# PBE with a Hubbard U Ca2MoWO6, optimized geometry
# * energy relative to the lowest polymorph listed for this composition: 0.029 eV per atom
# * Fermi-level density of states: 0.00 states/eV per cell
# * DFT total energy: -7.21 eV per atom
data_Ca2MoWO6
_cell_length_a 5.623
_cell_length_b 5.631
_cell_length_c 5.672
_cell_angle_alpha 60.75
_cell_angle_beta 60.56
_cell_angle_gamma 60.86
_space_group_name_H-M_alt 'P -1'
_space_group_IT_number 2
loop_
_space_group_symop_operation_xyz
'x,y,z'
'-x,-y,-z'
loop_
_atom_site_label
_atom_site_fract_x
_atom_site_fract_y
_atom_site_fract_z
Ca1 0.226 0.249 0.251
Mo1 0.500 0.500 0.500
W1 0.000 0.000 0.000
O1 0.172 0.816 0.312
O2 0.174 0.307 0.819
O3 0.355 0.759 0.760